(1)
Density functional theory data (PBEsol) for a relaxed PrSmB12 crystal.

- Energy relative to the elements: -486 meV per atom
- Crystal system: tetragonal

Geometry as CIF:
```
data_PrSmB12
_chemical_formula_sum 'Pr1 Sm1 B12'
_space_group_name_H-M_alt 'P 4/m m m'
_space_group_IT_number 123
_space_group_name_Hall '-P 4 2'
_cell_length_a 5.8117
_cell_length_b 5.8117
_cell_length_c 4.1062
_cell_angle_alpha 90.00
_cell_angle_beta 90.00
_cell_angle_gamma 90.00
loop_
_atom_site_label
_atom_site_fract_x
_atom_site_fract_y
_atom_site_fract_z
Pr1 0.0000 0.0000 0.0000
Sm1 0.5000 0.5000 0.0000
B1 0.0000 0.5000 0.1995
B2 0.1505 0.3499 0.5000
```

(2)
Density functional theory data (PBEsol) for a relaxed BPt2 crystal.

- Energy relative to the elements: -208 meV per atom
- Crystal system: hexagonal

Geometry as CIF:
```
data_BPt2
_chemical_formula_sum 'B2 Pt4'
_space_group_name_H-M_alt 'P 63/m m c'
_space_group_IT_number 194
_space_group_name_Hall '-P 6c 2c'
_cell_length_a 2.9004
_cell_length_b 2.9004
_cell_length_c 10.3341
_cell_angle_alpha 90.00
_cell_angle_beta 90.00
_cell_angle_gamma 120.00
loop_
_atom_site_label
_atom_site_fract_x
_atom_site_fract_y
_atom_site_fract_z
B1 0.3333 0.6667 0.2500
Pt1 0.3333 0.6667 0.6153
```

(3)
Density functional theory data (PBEsol) for a relaxed RbSiBPt2 crystal.

- Energy relative to the elements, uncorrected: 3.28 eV/f.u.
- Crystal system: tetragonal

Geometry as CIF:
```
data_RbSiBPt2
_chemical_formula_sum 'Rb1 Si1 B1 Pt2'
_space_group_name_H-M_alt 'P 4/m m m'
_space_group_IT_number 123
_space_group_name_Hall '-P 4 2'
_cell_length_a 4.7895
_cell_length_b 4.7895
_cell_length_c 4.0637
_cell_angle_alpha 90.00
_cell_angle_beta 90.00
_cell_angle_gamma 90.00
loop_
_atom_site_label
_atom_site_fract_x
_atom_site_fract_y
_atom_site_fract_z
Rb1 0.0000 0.0000 0.0000
Si1 0.5000 0.5000 0.5000
B1 0.5000 0.5000 0.0000
Pt1 0.0000 0.5000 0.5000
```

(4)
Density functional theory data (PBEsol) for a relaxed ReB2Pt crystal.

- Energy relative to the elements: 529 meV per atom
- Crystal system: tetragonal

Geometry as CIF:
```
data_ReB2Pt
_chemical_formula_sum 'Re4 B8 Pt4'
_space_group_name_H-M_alt 'I -4 2 d'
_space_group_IT_number 122
_space_group_name_Hall 'I -4 2bw'
_cell_length_a 4.8275
_cell_length_b 4.8275
_cell_length_c 9.1634
_cell_angle_alpha 90.00
_cell_angle_beta 90.00
_cell_angle_gamma 90.00
loop_
_atom_site_label
_atom_site_fract_x
_atom_site_fract_y
_atom_site_fract_z
Re1 0.0000 0.0000 0.0000
B1 0.2476 0.2500 0.6250
Pt1 0.0000 0.0000 0.5000
```

(5)
Density functional theory data (PBEsol) for a relaxed BPt2S crystal.

- Energy relative to the elements, uncorrected: 2.52 eV/f.u.
- Crystal system: cubic

Geometry as CIF:
```
data_BPt2S
_chemical_formula_sum 'B4 Pt8 S4'
_space_group_name_H-M_alt 'F m -3 m'
_space_group_IT_number 225
_space_group_name_Hall '-F 4 2 3'
_cell_length_a 5.8884
_cell_length_b 5.8884
_cell_length_c 5.8884
_cell_angle_alpha 90.00
_cell_angle_beta 90.00
_cell_angle_gamma 90.00
loop_
_atom_site_label
_atom_site_fract_x
_atom_site_fract_y
_atom_site_fract_z
B1 0.0000 0.0000 0.0000
Pt1 0.2500 0.2500 0.2500
S1 0.0000 0.0000 0.5000
```

(6)
Density functional theory data (PBEsol) for a relaxed B2Pt2S crystal.

- Energy relative to the elements, uncorrected: 3.14 eV/f.u.
- Crystal system: tetragonal

Geometry as CIF:
```
data_B2Pt2S
_chemical_formula_sum 'B4 Pt4 S2'
_space_group_name_H-M_alt 'P 4/m b m'
_space_group_IT_number 127
_space_group_name_Hall '-P 4 2ab'
_cell_length_a 6.7082
_cell_length_b 6.7082
_cell_length_c 2.6283
_cell_angle_alpha 90.00
_cell_angle_beta 90.00
_cell_angle_gamma 90.00
loop_
_atom_site_label
_atom_site_fract_x
_atom_site_fract_y
_atom_site_fract_z
B1 0.1438 0.3562 0.0000
Pt1 0.1423 0.6423 0.5000
S1 0.0000 0.0000 0.0000
```

(7)
Density functional theory data (PBEsol) for a relaxed ZrBSb2Pt crystal.

- Energy relative to the elements, uncorrected: 1.67 eV/f.u.
- Crystal system: tetragonal

Geometry as CIF:
```
data_ZrBSb2Pt
_chemical_formula_sum 'Zr1 B1 Sb2 Pt1'
_space_group_name_H-M_alt 'P 4/m m m'
_space_group_IT_number 123
_space_group_name_Hall '-P 4 2'
_cell_length_a 5.3323
_cell_length_b 5.3323
_cell_length_c 3.8749
_cell_angle_alpha 90.00
_cell_angle_beta 90.00
_cell_angle_gamma 90.00
loop_
_atom_site_label
_atom_site_fract_x
_atom_site_fract_y
_atom_site_fract_z
Zr1 0.0000 0.0000 0.0000
B1 0.5000 0.5000 0.0000
Sb1 0.0000 0.5000 0.5000
Pt1 0.5000 0.5000 0.5000
```

(8)
Density functional theory data (PBEsol) for a relaxed BPtWSe2 crystal.

- Energy relative to the elements, uncorrected: 10.74 eV/f.u.
- Crystal system: tetragonal

Geometry as CIF:
```
data_BPtWSe2
_chemical_formula_sum 'B1 Pt1 W1 Se2'
_space_group_name_H-M_alt 'P 4/m m m'
_space_group_IT_number 123
_space_group_name_Hall '-P 4 2'
_cell_length_a 4.9004
_cell_length_b 4.9004
_cell_length_c 4.8934
_cell_angle_alpha 90.00
_cell_angle_beta 90.00
_cell_angle_gamma 90.00
loop_
_atom_site_label
_atom_site_fract_x
_atom_site_fract_y
_atom_site_fract_z
B1 0.0000 0.0000 0.0000
Pt1 0.5000 0.5000 0.5000
W1 0.5000 0.5000 0.0000
Se1 0.0000 0.5000 0.5000
```

(9)
Density functional theory data (PBEsol) for a relaxed YBPtSe2 crystal.

- Energy relative to the elements, uncorrected: 3.75 eV/f.u.
- Crystal system: tetragonal

Geometry as CIF:
```
data_YBPtSe2
_chemical_formula_sum 'Y1 B1 Pt1 Se2'
_space_group_name_H-M_alt 'P 4/m m m'
_space_group_IT_number 123
_space_group_name_Hall '-P 4 2'
_cell_length_a 4.8523
_cell_length_b 4.8523
_cell_length_c 5.2529
_cell_angle_alpha 90.00
_cell_angle_beta 90.00
_cell_angle_gamma 90.00
loop_
_atom_site_label
_atom_site_fract_x
_atom_site_fract_y
_atom_site_fract_z
Y1 0.0000 0.0000 0.0000
B1 0.5000 0.5000 0.0000
Pt1 0.0000 0.0000 0.5000
Se1 0.0000 0.5000 0.5000
```

(10)
Density functional theory data (PBEsol) for a relaxed SiB3Pt crystal.

- Energy relative to the elements, uncorrected: 6.74 eV/f.u.
- Crystal system: cubic

Geometry as CIF:
```
data_SiB3Pt
_chemical_formula_sum 'Si1 B3 Pt1'
_space_group_name_H-M_alt 'P m -3 m'
_space_group_IT_number 221
_space_group_name_Hall '-P 4 2 3'
_cell_length_a 4.0997
_cell_length_b 4.0997
_cell_length_c 4.0997
_cell_angle_alpha 90.00
_cell_angle_beta 90.00
_cell_angle_gamma 90.00
loop_
_atom_site_label
_atom_site_fract_x
_atom_site_fract_y
_atom_site_fract_z
Si1 0.0000 0.0000 0.0000
B1 0.0000 0.5000 0.5000
Pt1 0.5000 0.5000 0.5000
```

(11)
Density functional theory data (PBEsol) for a relaxed SiBPt3 crystal.

- Energy relative to the elements, uncorrected: 6.07 eV/f.u.
- Crystal system: cubic

Geometry as CIF:
```
data_SiBPt3
_chemical_formula_sum 'Si1 B1 Pt3'
_space_group_name_H-M_alt 'P m -3 m'
_space_group_IT_number 221
_space_group_name_Hall '-P 4 2 3'
_cell_length_a 4.4665
_cell_length_b 4.4665
_cell_length_c 4.4665
_cell_angle_alpha 90.00
_cell_angle_beta 90.00
_cell_angle_gamma 90.00
loop_
_atom_site_label
_atom_site_fract_x
_atom_site_fract_y
_atom_site_fract_z
Si1 0.0000 0.0000 0.0000
B1 0.5000 0.5000 0.5000
Pt1 0.0000 0.0000 0.5000
```